Entry 1:
This record from Alexandria describes a relaxed CrIrBr2 crystal. The functional is GGA-PBEsol.

## Properties
The raw total energy is -5.074 eV per atom. As for the energy relative to the elements, uncorrected: 877.5 meV per atom. As for the relative energy among the computed polymorphs: 282 meV/atom. The magnetization is 0.75 μB/atom.

a b c (Å): 6.511 6.511 6.511
angles (deg): 90.00 90.00 90.00
Space group Fm-3m (No. 225)
Asymmetric unit:
1 Cr 0.000 0.000 0.000 (multiplicity 4)
2 Ir 0.000 0.000 0.500 (multiplicity 4)
3 Br 0.250 0.250 0.250 (multiplicity 8)

Entry 2:
This record from Alexandria describes a relaxed In2Hg3 crystal. The functional is GGA-PBEsol.

## Properties
The raw total energy is -1.528 eV per atom. As for the relative energy among the computed polymorphs: 30 meV/atom. The magnetization is 0.00 μB/atom. The energy of formation is 0.005 eV per atom.

a b c (Å): 4.6688 4.6688 6.8360
angles (deg): 90.00 90.00 120.00
Space group P-3m1 (No. 164)
Asymmetric unit:
1 In 0.3333 0.6667 0.3227 (multiplicity 2)
2 Hg 0.0000 0.0000 0.5000 (multiplicity 1)
3 Hg 0.3333 0.6667 0.8780 (multiplicity 2)

Entry 3:
This record from Alexandria describes a relaxed As3AuF crystal. The functional is GGA-PBEsol.

## Properties
The raw total energy is -3.767 eV per atom. As for the energy relative to the elements, uncorrected: 467.1 meV per atom. The magnetization is 0.00 μB/atom.

a b c (Å): 4.488 4.488 4.488
angles (deg): 90.00 90.00 90.00
Space group Pm-3m (No. 221)
Asymmetric unit:
1 As 0.000 0.000 0.500 (multiplicity 3)
2 Au 0.500 0.500 0.500 (multiplicity 1)
3 F 0.000 0.000 0.000 (multiplicity 1)

Entry 4:
This record from Alexandria describes a relaxed Al2Cd3Ge3O12 crystal. The functional is GGA-PBEsol.

## Properties
The raw total energy is -6.381 eV per atom. As for the energy relative to the elements, uncorrected: -1901.7 meV per atom. The magnetization is 0.00 μB/atom.

a b c (Å): 12.102 12.102 12.102
angles (deg): 90.00 90.00 90.00
Space group Ia-3d (No. 230)
Asymmetric unit:
1 Al 0.000 0.000 0.000 (multiplicity 16)
2 Cd 0.000 0.250 0.125 (multiplicity 24)
3 Ge 0.000 0.250 0.375 (multiplicity 24)
4 O 0.032 0.047 0.648 (multiplicity 96)

Entry 5:
This record from Alexandria describes a relaxed TbSeClO3 crystal. The functional is GGA-PBEsol.

## Properties
The raw total energy is -6.478 eV per atom. As for the energy relative to the elements, uncorrected: -2041.6 meV per atom. The magnetization is 0.00 μB/atom.

a b c (Å): 7.149 6.960 8.811
angles (deg): 90.00 90.00 90.00
Space group Pnma (No. 62)
Asymmetric unit:
1 Tb 0.104 0.250 0.040 (multiplicity 4)
2 Se 0.204 0.250 0.632 (multiplicity 4)
3 Cl 0.054 0.750 0.679 (multiplicity 4)
4 O 0.144 0.572 0.066 (multiplicity 8)
5 O 0.249 0.750 0.320 (multiplicity 4)

Entry 6:
This record from Alexandria describes a relaxed NaVF3 crystal. The functional is GGA-PBEsol.

## Properties
The raw total energy is -5.913 eV per atom. As for the energy relative to the elements, uncorrected: -2549.5 meV per atom. As for the relative energy among the computed polymorphs: 0 meV/atom. The magnetization is 0.60 μB/atom.

a b c (Å): 5.663 7.794 5.436
angles (deg): 90.00 90.00 90.00
Space group Pnma (No. 62)
Asymmetric unit:
1 Na 0.058 0.250 0.016 (multiplicity 4)
2 V 0.000 0.000 0.500 (multiplicity 4)
3 F 0.051 0.750 0.386 (multiplicity 4)
4 F 0.198 0.560 0.807 (multiplicity 8)

Entry 7:
This record from Alexandria describes a relaxed In2AsNCl crystal. The functional is GGA-PBEsol.

## Properties
The raw total energy is -3.359 eV per atom. As for the energy relative to the elements, uncorrected: 962.6 meV per atom. The magnetization is 0.00 μB/atom.

a b c (Å): 5.551 5.551 3.488
angles (deg): 90.00 90.00 90.00
Space group P4/mmm (No. 123)
Asymmetric unit:
1 In 0.000 0.500 0.000 (multiplicity 2)
2 As 0.000 0.000 0.500 (multiplicity 1)
3 N 0.500 0.500 0.500 (multiplicity 1)
4 Cl 0.500 0.500 0.000 (multiplicity 1)

Entry 8:
This record from Alexandria describes a relaxed ZnCu2N2 crystal. The functional is GGA-PBEsol.

## Properties
The raw total energy is -4.872 eV per atom. As for the energy relative to the elements, uncorrected: 588.7 meV per atom. The magnetization is 0.00 μB/atom.

a b c (Å): 3.495 3.495 5.209
angles (deg): 90.00 90.00 90.00
Space group P-4m2 (No. 115)
Asymmetric unit:
1 Zn 0.000 0.000 0.000 (multiplicity 1)
2 Cu 0.500 0.500 0.280 (multiplicity 2)
3 N 0.000 0.500 0.788 (multiplicity 2)

Entry 9:
This record from Alexandria describes a relaxed Be2TcW crystal. The functional is GGA-PBEsol.

## Properties
The raw total energy is -8.080 eV per atom. As for the relative energy among the computed polymorphs: 379 meV/atom. The magnetization is 0.00 μB/atom. The energy of formation is 0.188 eV per atom.

a b c (Å): 5.658 5.658 5.658
angles (deg): 90.00 90.00 90.00
Space group Fm-3m (No. 225)
Asymmetric unit:
1 Be 0.250 0.250 0.250 (multiplicity 8)
2 Tc 0.000 0.000 0.000 (multiplicity 4)
3 W 0.000 0.000 0.500 (multiplicity 4)

Entry 10:
This record from Alexandria describes a relaxed Li2CuSi crystal. The functional is GGA-PBEsol.

## Properties
The raw total energy is -3.612 eV per atom. As for the energy relative to the elements, uncorrected: -108.6 meV per atom. The magnetization is 0.00 μB/atom.

a b c (Å): 2.536 2.536 7.948
angles (deg): 90.00 90.00 90.00
Space group P4/mmm (No. 123)
Asymmetric unit:
1 Li 0.000 0.000 0.250 (multiplicity 2)
2 Cu 0.500 0.500 0.000 (multiplicity 1)
3 Si 0.500 0.500 0.500 (multiplicity 1)

Entry 11:
This record from Alexandria describes a relaxed Li2VSi3O9 crystal. The functional is GGA-PBEsol.

## Properties
The raw total energy is -7.733 eV per atom. As for the energy relative to the elements, uncorrected: -2529.7 meV per atom. The magnetization is 0.07 μB/atom.

a b c (Å): 7.696 9.440 10.868
angles (deg): 90.00 90.00 90.00
Space group P2_12_12_1 (No. 19)
Asymmetric unit:
1 Li 0.057 0.176 0.085 (multiplicity 4)
2 Li 0.139 0.870 0.970 (multiplicity 4)
3 V 0.215 0.943 0.224 (multiplicity 4)
4 Si 0.036 0.318 0.761 (multiplicity 4)
5 Si 0.076 0.926 0.495 (multiplicity 4)
6 Si 0.105 0.632 0.164 (multiplicity 4)
7 O 0.028 0.315 0.914 (multiplicity 4)
8 O 0.030 0.074 0.233 (multiplicity 4)
9 O 0.057 0.558 0.031 (multiplicity 4)
10 O 0.083 0.152 0.726 (multiplicity 4)
11 O 0.098 0.800 0.132 (multiplicity 4)
12 O 0.114 0.844 0.367 (multiplicity 4)
13 O 0.139 0.883 0.797 (multiplicity 4)
14 O 0.200 0.411 0.709 (multiplicity 4)
15 O 0.242 0.028 0.057 (multiplicity 4)

Entry 12:
This record from Alexandria describes a relaxed PuPt3 crystal. The functional is GGA-PBEsol.

## Properties
The raw total energy is -9.536 eV per atom. The magnetization is 1.07 μB/atom. The energy of formation is -0.525 eV per atom.

a b c (Å): 5.7808 5.7808 4.7219
angles (deg): 90.00 90.00 120.00
Space group P6_3/mmc (No. 194)
Asymmetric unit:
1 Pu 0.3333 0.6667 0.2500 (multiplicity 2)
2 Pt 0.1614 0.3229 0.7500 (multiplicity 6)

> raw total energy of number 3 (As3AuF)?

-3.767 eV per atom

> Which value of raw total energy does entry 9 give?

-8.080 eV per atom